A relaxed structure of MnHgI, computed with PBE.

Cell and atoms, written as extended XYZ:
```
6
Lattice="13.850 0.000 0.000 0.000 1.952 3.383 0.000 -1.952 3.383" Properties=species:S:1:pos:R:3 pbc="T T T"
Mn 0.000 0.000 0.000
Mn 6.925 0.000 0.023
Hg 5.231 0.000 2.278
Hg 8.619 0.000 2.278
I 1.833 0.000 2.253
I 12.017 0.000 2.253
```

Summary:
D(E_F) = 1.472 states/eV/f.u.
Energy relative to the lowest polymorph listed for this composition = 87 meV per atom

=====

A relaxed structure of MnHgI, computed with PBE.

Cell and atoms, written as extended XYZ:
```
6
Lattice="4.021 0.000 0.000 -0.003 7.001 0.000 -1.994 -2.717 6.289" Properties=species:S:1:pos:R:3 pbc="T T T"
Mn 0.000 0.000 0.000
Mn 0.014 -1.407 4.590
Hg 2.007 5.051 0.041
Hg 2.023 0.106 6.007
I 0.009 0.544 2.632
I 2.023 3.945 3.532
```

Summary:
D(E_F) = 1.410 states/eV/f.u.
Energy relative to the lowest polymorph listed for this composition = 1 meV per atom

=====

A relaxed structure of MnHgI, computed with PBE.

Cell and atoms, written as extended XYZ:
```
6
Lattice="2.162 -8.585 0.000 2.162 8.585 0.000 -0.274 0.000 5.766" Properties=species:S:1:pos:R:3 pbc="T T T"
Mn 0.863 0.000 0.444
Mn 3.187 0.000 5.321
Hg 2.025 -4.904 2.883
Hg 2.025 -8.485 2.883
I 2.162 2.113 0.000
I 2.162 -2.121 0.000
```

Summary:
D(E_F) = 1.360 states/eV/f.u.
Energy relative to the lowest polymorph listed for this composition = 217 meV per atom

=====

A relaxed structure of MnHgI, computed with PBE.

Cell and atoms, written as extended XYZ:
```
6
Lattice="4.538 -3.652 0.000 4.538 3.652 0.000 -0.006 0.000 5.457" Properties=species:S:1:pos:R:3 pbc="T T T"
Mn 0.471 0.000 0.816
Mn 8.600 0.000 4.641
Hg 2.269 1.826 0.000
Hg 2.269 -1.826 0.000
I 4.536 1.845 2.729
I 4.536 -1.845 2.729
```

Summary:
D(E_F) = 1.323 states/eV/f.u.
Energy relative to the lowest polymorph listed for this composition = 197 meV per atom

=====

A relaxed structure of MnHgI2N, computed with PBE.

Cell and atoms, written as extended XYZ:
```
5
Lattice="6.219 0.000 0.000 0.000 6.219 0.000 0.000 0.000 4.098" Properties=species:S:1:pos:R:3 pbc="T T T"
Mn 0.000 0.000 0.000
Hg 3.110 3.110 2.049
I 0.000 3.110 2.049
I 3.110 0.000 2.049
N 3.110 3.110 0.000
```

Summary:
D(E_F) = 2.370 states/eV/f.u.
Energy relative to the lowest polymorph listed for this composition = 868 meV per atom

=====

A relaxed structure of MnHgI2N, computed with PBE.

Cell and atoms, written as extended XYZ:
```
5
Lattice="5.785 0.000 0.000 0.000 5.785 0.000 0.000 0.000 3.635" Properties=species:S:1:pos:R:3 pbc="T T T"
Mn 0.000 0.000 0.000
Hg 2.892 2.892 1.817
I 0.000 2.892 0.000
I 2.892 0.000 0.000
N 0.000 0.000 1.817
```

Summary:
D(E_F) = 4.417 states/eV/f.u.
Energy relative to the lowest polymorph listed for this composition = 0 meV per atom

=====

A relaxed structure of Na2MnHgI6, computed with PBE.

Cell and atoms, written as extended XYZ:
```
10
Lattice="7.641 0.000 0.000 3.817 6.621 0.000 3.813 2.211 7.689" Properties=species:S:1:pos:R:3 pbc="T T T"
Na 0.000 0.000 0.000
Na 7.634 4.417 4.012
Mn 11.454 6.621 3.992
Hg 3.817 2.209 3.817
I 6.208 6.748 5.657
I 4.960 4.548 2.238
I 6.326 2.017 5.656
I 9.090 6.666 2.237
I 10.364 4.484 5.657
I 8.860 2.029 2.240
```

=====

A relaxed structure of Na2MnHgI4, computed with PBE.

Cell and atoms, written as extended XYZ:
```
8
Lattice="7.191 -2.216 0.000 7.191 2.216 0.000 -3.793 0.000 9.369" Properties=species:S:1:pos:R:3 pbc="T T T"
Na 2.127 0.000 2.591
Na 8.462 0.000 6.779
Mn -1.896 0.000 4.685
Hg 7.191 0.000 0.000
I -0.836 0.000 7.297
I 3.413 0.000 5.515
I 7.176 0.000 3.854
I 11.425 0.000 2.072
```

=====

A relaxed structure of MnNbHg2I, computed with PBE.

Cell and atoms, written as extended XYZ:
```
5
Lattice="5.247 0.000 0.000 0.000 5.247 0.000 0.000 0.000 4.684" Properties=species:S:1:pos:R:3 pbc="T T T"
Mn 0.000 0.000 0.000
Nb 0.000 0.000 2.342
Hg 0.000 2.624 0.000
Hg 2.624 0.000 0.000
I 2.624 2.624 2.342
```

Summary:
D(E_F) = 3.652 states/eV/f.u.

=====

A relaxed structure of MnNiHg2I, computed with PBE.

Cell and atoms, written as extended XYZ:
```
5
Lattice="5.100 0.000 0.000 0.000 5.100 0.000 0.000 0.000 5.207" Properties=species:S:1:pos:R:3 pbc="T T T"
Mn 0.000 0.000 0.000
Ni 2.550 2.550 2.604
Hg 0.000 2.550 2.604
Hg 2.550 0.000 2.604
I 2.550 2.550 0.000
```

Summary:
D(E_F) = 3.006 states/eV/f.u.

=====

Number 1: uncorrected formation energy 0.157 eV per atom. Number 2: uncorrected formation energy 0.071 eV per atom. Number 3: uncorrected formation energy 0.288 eV per atom. Number 4: uncorrected formation energy 0.267 eV per atom. Number 5: uncorrected formation energy 1.106 eV per atom. Number 6: uncorrected formation energy 0.239 eV per atom. Number 7: uncorrected formation energy -0.678 eV per atom. Number 8: uncorrected formation energy -0.708 eV per atom. Number 9: uncorrected formation energy 0.609 eV per atom. Number 10: uncorrected formation energy 0.547 eV per atom.